This record from the Open Quantum Materials Database describes a geometry-optimized NbAlPO structure. The functional is GGA-PBE.

## Properties
Theoretical density: 5.1 g cm⁻³
Relative energy among the computed polymorphs: 0.541 eV/atom
Spin magnetization: 0.0 μB per formula unit

Unit cell a=3.494 b=3.494 c=8.903 alpha=90.00 beta=90.00 gamma=90.00
Space group P4/nmm (No. 129, origin choice 2)
Asymmetric unit:
1 Nb 0.250 0.250 0.149 x2
2 Al 0.250 0.750 0.500 x2
3 P 0.250 0.250 0.724 x2
4 O 0.250 0.750 0.000 x2

This record from the Open Quantum Materials Database describes a geometry-optimized NbAlPO structure. The functional is GGA-PBE.

## Properties
Theoretical density: 5.0 g cm⁻³
Relative energy among the computed polymorphs: 0.540 eV/atom
Spin magnetization: 0.2 μB per formula unit

Unit cell a=3.481 b=3.481 c=9.057 alpha=90.00 beta=90.00 gamma=90.00
Space group P4/nmm (No. 129, origin choice 2)
Asymmetric unit:
1 Nb 0.250 0.250 0.146 x2
2 Al 0.250 0.750 0.500 x2
3 P 0.250 0.250 0.726 x2
4 O 0.250 0.750 0.000 x2

This record from the Open Quantum Materials Database describes a geometry-optimized NbAlPO structure. The functional is GGA-PBE.

## Properties
Theoretical density: 5.0 g cm⁻³
Relative energy among the computed polymorphs: 0.133 eV/atom
Spin magnetization: 0.4 μB per formula unit

Unit cell a=3.211 b=5.489 c=6.265 alpha=90.00 beta=90.00 gamma=90.00
Space group Pmc2_1 (No. 26)
Asymmetric unit:
1 Nb 0.000 0.085 0.000 x2
2 Al 0.500 0.428 0.378 x2
3 P 0.500 0.191 0.703 x2
4 O 0.000 0.279 0.303 x2